[1]
A PBEsol-optimized structure of BeAgSe2Br, computed with SCAN.

Unit cell a=5.0007 b=5.0007 c=5.0148 alpha=90.00 beta=90.00 gamma=90.00
Last column: nearest neighbours and their distance in Å.
Space group P4/mmm (No. 123)
One atom of each set of equivalent atoms:
Be  0.0000  0.0000  0.0000 (multiplicity 1)  4 Br 3.54, 8 Se 3.54
Ag  0.5000  0.5000  0.5000 (multiplicity 1)  4 Se 2.50, 2 Br 2.51
Se  0.0000  0.5000  0.5000 (multiplicity 2)  2 Ag 2.50
Br  0.5000  0.5000  0.0000 (multiplicity 1)  2 Ag 2.51

Properties
Energy, hartree per atom: -0.6673
V, Å³/f.u.: 125.4
Formation energy (no corrections), eV per atom: 0.9096

***

[2]
A PBEsol-optimized structure of BeAgSeBr2, computed with SCAN.

Unit cell a=4.8199 b=4.8199 c=4.5517 alpha=90.00 beta=90.00 gamma=90.00
Last column: nearest neighbours and their distance in Å.
Space group P4/mmm (No. 123)
One atom of each set of equivalent atoms:
Be  0.0000  0.0000  0.0000 (multiplicity 1)  2 Se 2.28, 4 Br 2.41
Ag  0.5000  0.5000  0.5000 (multiplicity 1)  8 Br 3.31, 4 Se 3.41
Se  0.0000  0.0000  0.5000 (multiplicity 1)  2 Be 2.28
Br  0.0000  0.5000  0.0000 (multiplicity 2)  2 Be 2.41

Properties
Energy, hartree per atom: -0.6959
V, Å³/f.u.: 105.7
Formation energy (no corrections), eV per atom: 0.0070

***

[3]
A PBEsol-optimized structure of BeZn2AgBr, computed with SCAN.

Unit cell a=5.0801 b=5.0801 c=4.9406 alpha=90.00 beta=90.00 gamma=90.00
Last column: nearest neighbours and their distance in Å.
Space group P4/mmm (No. 123)
One atom of each set of equivalent atoms:
Be  0.0000  0.0000  0.0000 (multiplicity 1)  8 Zn 3.54, 4 Ag 3.59
Zn  0.0000  0.5000  0.5000 (multiplicity 2)  2 Br 2.54
Ag  0.5000  0.5000  0.0000 (multiplicity 1)  2 Br 2.47
Br  0.5000  0.5000  0.5000 (multiplicity 1)  2 Ag 2.47, 4 Zn 2.54

Properties
Energy, hartree per atom: -0.5565
V, Å³/f.u.: 127.5
Formation energy (no corrections), eV per atom: 1.3002

***

[4]
A PBEsol-optimized structure of ZrBeAgBr2, computed with SCAN.

Unit cell a=4.5508 b=4.5508 c=4.8329 alpha=90.00 beta=90.00 gamma=90.00
Last column: nearest neighbours and their distance in Å.
Space group P4/mmm (No. 123)
One atom of each set of equivalent atoms:
Zr  0.0000  0.0000  0.0000 (multiplicity 1)  4 Ag 3.22, 8 Br 3.32
Be  0.5000  0.5000  0.5000 (multiplicity 1)  4 Br 2.28, 2 Ag 2.42
Ag  0.5000  0.5000  0.0000 (multiplicity 1)  2 Be 2.42
Br  0.0000  0.5000  0.5000 (multiplicity 2)  2 Be 2.28

Properties
Energy, hartree per atom: -0.7583
V, Å³/f.u.: 100.1
Formation energy (no corrections), eV per atom: 0.4338

***

[5]
A PBEsol-optimized structure of BeAgC2I, computed with SCAN.

Unit cell a=4.2279 b=4.2279 c=4.5710 alpha=90.00 beta=90.00 gamma=90.00
Last column: nearest neighbours and their distance in Å.
Space group P4/mmm (No. 123)
One atom of each set of equivalent atoms:
Be  0.0000  0.0000  0.0000 (multiplicity 1)  2 I 2.29
Ag  0.5000  0.5000  0.0000 (multiplicity 1)  4 Be 2.99, 8 C 3.11
C  0.0000  0.5000  0.5000 (multiplicity 2)  2 I 2.11
I  0.0000  0.0000  0.5000 (multiplicity 1)  4 C 2.11, 2 Be 2.29

Properties
Energy, hartree per atom: -0.5729
V, Å³/f.u.: 81.7
Formation energy (no corrections), eV per atom: 2.9426

***

[6]
A PBEsol-optimized structure of CaBeAg, computed with SCAN.

Unit cell a=3.2684 b=3.2684 c=10.3826 alpha=90.00 beta=90.00 gamma=90.00
Last column: nearest neighbours and their distance in Å.
Space group I4mm (No. 107)
One atom of each set of equivalent atoms:
Ca  0.0000  0.0000  0.0000 (multiplicity 2)  5 Ag 2.99-3.19, 5 Be 3.07-3.13, 4 Ca 3.27
Be  0.0000  0.0000  0.2960 (multiplicity 2)  4 Ag 2.47
Ag  0.0000  0.0000  0.7117 (multiplicity 2)  4 Be 2.47

Properties
Energy, hartree per atom: -0.5544
Formation energy from the elements, eV per atom: 0.043
V, Å³/f.u.: 55.5
ΔE to the lowest computed polymorph, meV/atom: 0

***

[7]
A PBEsol-optimized structure of Ca2BeAg, computed with SCAN.

Unit cell a=6.9162 b=3.8635 c=8.1329 alpha=90.00 beta=105.11 gamma=90.00
Last column: nearest neighbours and their distance in Å.
Space group C2/m (No. 12)
One atom of each set of equivalent atoms:
Ca  0.2471  0.0000  0.2413 (multiplicity 4)  3 Be 2.95-2.96, 3 Ag 3.04-3.05
Be  0.0000  0.5000  0.0000 (multiplicity 2)  6 Ca 2.95-2.96
Ag  0.0000  0.0000  0.5000 (multiplicity 2)  6 Ca 3.04-3.05

Properties
Energy, hartree per atom: -0.4955
Formation energy from the elements, eV per atom: 0.280
V, Å³/f.u.: 104.9

***

[8]
A PBEsol-optimized structure of CaBeAg2, computed with SCAN.

Unit cell a=3.2177 b=3.4274 c=6.5663 alpha=90.00 beta=90.00 gamma=90.00
Last column: nearest neighbours and their distance in Å.
Space group Pmm2 (No. 25)
One atom of each set of equivalent atoms:
Ca  0.0000  0.0000  0.0000 (multiplicity 1)  5 Ag 2.97-3.07, 4 Be 3.16, 2 Ca 3.22
Be  0.5000  0.5000  0.6788 (multiplicity 1)  5 Ag 2.48-2.50
Ag  0.0000  0.0000  0.5482 (multiplicity 1)  4 Be 2.50
Ag  0.5000  0.5000  0.3014 (multiplicity 1)  1 Be 2.48

Properties
Energy, hartree per atom: -0.7038
Formation energy from the elements, eV per atom: 0.036
V, Å³/f.u.: 72.4

***

Which of these has the highest V?
BeZn2AgBr

***

Which value of energy does entry 3 give?
-0.5565 hartree per atom

***

Look up the V of the third one.
127.5 Å³/f.u.

***

Repeat the sixth record exactly.
A PBEsol-optimized structure of CaBeAg, computed with SCAN.

Unit cell a=3.2684 b=3.2684 c=10.3826 alpha=90.00 beta=90.00 gamma=90.00
Last column: nearest neighbours and their distance in Å.
Space group I4mm (No. 107)
One atom of each set of equivalent atoms:
Ca  0.0000  0.0000  0.0000 (multiplicity 2)  5 Ag 2.99-3.19, 5 Be 3.07-3.13, 4 Ca 3.27
Be  0.0000  0.0000  0.2960 (multiplicity 2)  4 Ag 2.47
Ag  0.0000  0.0000  0.7117 (multiplicity 2)  4 Be 2.47

Properties
Energy, hartree per atom: -0.5544
Formation energy from the elements, eV per atom: 0.043
V, Å³/f.u.: 55.5
ΔE to the lowest computed polymorph, meV/atom: 0